This record from Alexandria describes a relaxed structure of Ca2VSi. The functional is PBE.

Cell: 7.8955 7.8955 7.8955 Å, 95.36 95.36 144.41°
Last column: nearest neighbours and their distance in Å.
Element x y z (fractional)
Ca 0.3750 0.2164 0.3414  2 Si 2.89
Ca 0.7836 0.1250 0.1586  2 Si 2.89
Ca 0.8750 0.0336 0.6586  2 Si 2.89
Ca 0.9664 0.6250 0.8414  2 Si 2.89
V 0.2500 0.7500 0.5000  2 Si 2.41
V 0.5000 0.5000 0.0000  2 Si 2.41
Si 0.0000 0.0000 0.0000  2 V 2.41
Si 0.7500 0.2500 0.5000  2 V 2.41

Computed properties:
Energy relative to the elements, uncorrected (meV per atom): 336
Uncorrected energy (eV per atom): -4.300